[1]
DFT (PBE) results for Pm2PaHg3Te6 after structural relaxation.

Calculated values
SG: No. 12
Formation energy from raw total energies (meV per atom): -771

Cell and atoms, written as POSCAR:
```
Pm2PaHg3Te6
1.0
3.815 -6.606 0.000
3.815 6.606 0.000
-2.528 0.000 8.655
Pm Pa Hg Te
2 1 3 6
Direct
0.167 0.833 0.000
0.833 0.167 0.000
0.500 0.500 0.000
0.000 0.000 0.500
0.333 0.667 0.500
0.667 0.333 0.500
0.113 0.431 0.793
0.250 0.250 0.207
0.431 0.113 0.793
0.569 0.887 0.207
0.750 0.750 0.793
0.887 0.569 0.207
```


[2]
DFT (PBE) results for LiNdDySb after structural relaxation.

Calculated values
SG: No. 216
Formation energy from raw total energies (meV per atom): -467

Cell and atoms, written as POSCAR:
```
LiNdDySb
1.0
0.000 3.735 3.735
3.735 0.000 3.735
3.735 3.735 0.000
Li Nd Dy Sb
1 1 1 1
Direct
0.000 0.000 0.000
0.250 0.250 0.250
0.750 0.750 0.750
0.500 0.500 0.500
```